Entry 1:
Here is ReSn2Ir at its PBEsol-relaxed geometry from the Alexandria database. Energies are from meta-GGA SCAN.

The space group is Fm-3m (No. 225) and the conventional cell measures 6.463, 6.463 and 6.463 Å, with angles of 90.00, 90.00 and 90.00 degrees. Symmetry generates all atoms from Re at (0.000, 0.000, 0.000), Sn at (0.250, 0.250, 0.250) and Ir at (0.000, 0.000, 0.500).

The calculation puts the formation energy from the elements at 0.382 eV per atom. The value obtained for the total energy is -3.905 Ry/atom. For the total magnetic moment, the calculation gives 0.0 μB per cell.

Entry 2:
Here is ReNiHg2 at its PBEsol-relaxed geometry from the Alexandria database. Energies are from meta-GGA SCAN.

The space group is R-3m (No. 166, hexagonal axes) and the conventional cell measures 2.8891, 2.8891 and 26.6449 Å, with angles of 90.00, 90.00 and 120.00 degrees. Symmetry generates all atoms from Re at (0.0000, 0.0000, 0.0000), Ni at (0.0000, 0.0000, 0.5000) and Hg at (0.0000, 0.0000, 0.2445).

Its energy above the most stable polymorph in this dataset is 256 meV/atom. The calculation puts the formation energy from the elements at 0.679 eV per atom. The value obtained for the total energy is -4.059 Ry/atom. For the total magnetic moment, the calculation gives 0.0 μB per cell.

Entry 3:
Here is Bi2PPt at its PBEsol-relaxed geometry from the Alexandria database. Energies are from meta-GGA SCAN.

The space group is I-42d (No. 122) and the conventional cell measures 6.304, 6.304 and 11.986 Å, with angles of 90.00, 90.00 and 90.00 degrees. Symmetry generates all atoms from Bi at (0.240, 0.250, 0.125), P at (0.000, 0.000, 0.500) and Pt at (0.000, 0.000, 0.000).

The calculation puts the formation energy from the elements at 0.140 eV per atom. The value obtained for the total energy is -4.358 Ry/atom. For the total magnetic moment, the calculation gives 0.0 μB per cell.

Entry 4:
Here is FeOsAu2 at its PBEsol-relaxed geometry from the Alexandria database. Energies are from meta-GGA SCAN.

The space group is F-43m (No. 216) and the conventional cell measures 6.226, 6.226 and 6.226 Å, with angles of 90.00, 90.00 and 90.00 degrees. Symmetry generates all atoms from Fe at (0.000, 0.000, 0.000), Os at (0.250, 0.250, 0.750), Au at (0.000, 0.000, 0.500) and Au at (0.250, 0.250, 0.250).

Its energy above the most stable polymorph in this dataset is 106 meV/atom. The calculation puts the formation energy from the elements at 0.495 eV per atom. The value obtained for the total energy is -4.159 Ry/atom. For the total magnetic moment, the calculation gives 17.5 μB per cell.